1.
Compound: Tb6Nd3Ho2In
Source: Alexandria via LeMat-Bulk
Functional: GGA-PBE
Structure: relaxed

Unit cell a=6.1683 b=6.1683 c=11.7009 alpha=95.06 beta=95.06 gamma=120.04
With the nearest neighbours (Å) after each atom.
Element x y z (fractional)
Tb: 0.0801 0.4076 0.2426  1 In 3.45, 2 Ho 3.48, 6 Tb 3.50-3.59, 3 Nd 3.60-3.62
Tb: 0.2471 0.2471 0.7561  1 In 3.46, 2 Ho 3.49, 6 Tb 3.50-3.59, 3 Nd 3.59-3.61
Tb: 0.4076 0.0801 0.2426  1 In 3.45, 2 Ho 3.48, 6 Tb 3.50-3.59, 3 Nd 3.60-3.62
Tb: 0.5924 0.9199 0.7574  1 In 3.45, 2 Ho 3.48, 6 Tb 3.50-3.59, 3 Nd 3.60-3.62
Tb: 0.7529 0.7529 0.2439  1 In 3.46, 2 Ho 3.49, 6 Tb 3.50-3.59, 3 Nd 3.59-3.61
Tb: 0.9199 0.5924 0.7574  1 In 3.45, 2 Ho 3.48, 6 Tb 3.50-3.59, 3 Nd 3.60-3.62
Nd: 0.1676 0.8324 0.5000  6 Nd 3.55-3.58, 6 Tb 3.59-3.62
Nd: 0.5000 0.5000 0.5000  6 Nd 3.55-3.56, 6 Tb 3.60-3.61
Nd: 0.8324 0.1676 0.5000  6 Nd 3.55-3.58, 6 Tb 3.59-3.62
Ho: 0.3339 0.6661 0.0000  6 Tb 3.48-3.49, 3 Ho 3.55-3.57, 3 In 3.56-3.57
Ho: 0.6661 0.3339 0.0000  6 Tb 3.48-3.49, 3 Ho 3.55-3.57, 3 In 3.56-3.57
In: 0.0000 0.0000 0.0000  6 Tb 3.45-3.46, 6 Ho 3.56-3.57

Properties
Formation energy from the elements = -0.4 eV per formula unit
Space group = C2/m

2.
Compound: In2SiN
Source: Alexandria via LeMat-Bulk
Functional: GGA-PBE
Structure: relaxed

Unit cell a=6.9099 b=6.9099 c=7.2105 alpha=94.40 beta=94.40 gamma=29.36
With the nearest neighbours (Å) after each atom.
Element x y z (fractional)
In: 0.0000 0.0000 0.0000  1 N 2.18
In: 0.2115 0.2115 0.7486  1 N 2.19
In: 0.3077 0.3077 0.4056  2 N 2.32
In: 0.5161 0.5161 0.5378  2 N 2.20
Si: 0.6115 0.6115 0.2267  1 N 1.80
Si: 0.8002 0.8002 0.0013  1 N 1.78
N: 0.0470 0.0470 0.7173  4 In 2.18-2.20
N: 0.7454 0.7454 0.2187  2 Si 1.78-1.80

Properties
Energy above the lowest structure with this stoichiometry = 314 meV/atom
Space group = Cm
ΔE_f (raw) = 0.722 eV per formula unit

3.
Compound: NaMg2Cl5
Source: Alexandria via LeMat-Bulk
Functional: GGA-PBE
Structure: relaxed

Unit cell a=7.1380 b=7.1380 c=6.6974 alpha=116.42 beta=116.42 gamma=57.20
With the nearest neighbours (Å) after each atom.
Element x y z (fractional)
Na: 0.0000 0.0000 0.0000  5 Cl 2.65-2.88
Mg: 0.3333 0.3333 0.7994  5 Cl 2.41-2.51
Mg: 0.9133 0.9133 0.3864  5 Cl 2.44-2.51
Cl: 0.0825 0.5870 0.0669  2 Mg 2.48-2.51
Cl: 0.1262 0.1262 0.4686  2 Mg 2.41-2.44
Cl: 0.1861 0.6736 0.6581  2 Mg 2.46-2.51, 1 Na 2.65
Cl: 0.5870 0.0825 0.0669  2 Mg 2.48-2.51
Cl: 0.6736 0.1861 0.6581  2 Mg 2.46-2.51, 1 Na 2.65

Properties
Space group = Cm
ΔE_f (raw) = -13.648 eV per formula unit

4.
Compound: ThCoHg
Source: Alexandria via LeMat-Bulk
Functional: GGA-PBE
Structure: relaxed

Unit cell a=8.9648 b=8.9648 c=3.9835 alpha=90.00 beta=90.00 gamma=156.21
With the nearest neighbours (Å) after each atom.
Element x y z (fractional)
Th: 0.0878 0.9122 0.7500  6 Co 2.78-3.10
Th: 0.9122 0.0878 0.2500  6 Co 2.78-3.10
Co: 0.4458 0.5542 0.7500  1 Hg 2.69, 2 Co 2.75, 4 Th 2.78
Co: 0.5542 0.4458 0.2500  1 Hg 2.69, 2 Co 2.75, 4 Th 2.78
Hg: 0.2923 0.7077 0.7500  1 Co 2.69
Hg: 0.7077 0.2923 0.2500  1 Co 2.69

Properties
Formation energy from the elements = -1.0 eV per formula unit
Space group = Cmcm

5.
Compound: AgBiIr3
Source: Alexandria via LeMat-Bulk
Functional: GGA-PBE
Structure: relaxed

Unit cell a=4.8316 b=4.8316 c=4.8316 alpha=90.00 beta=90.00 gamma=90.00
With the nearest neighbours (Å) after each atom.
Element x y z (fractional)
Ag: 0.0000 0.0000 0.0000  6 Ir 2.42
Bi: 0.5000 0.5000 0.5000  12 Ir 3.42
Ir: 0.0000 0.0000 0.5000  2 Ag 2.42
Ir: 0.0000 0.5000 0.0000  2 Ag 2.42
Ir: 0.5000 0.0000 0.0000  2 Ag 2.42

Properties
Formation energy from the elements = 9.9 eV per formula unit
Energy above the lowest structure with this stoichiometry = 0 meV/atom
Space group = Pm-3m

6.
Compound: PuIn2Ag5
Source: Alexandria via LeMat-Bulk
Functional: GGA-PBE
Structure: relaxed

Unit cell a=7.6174 b=7.6174 c=7.6174 alpha=156.89 beta=105.34 gamma=79.38
With the nearest neighbours (Å) after each atom.
Element x y z (fractional)
Pu: 0.0000 0.0000 0.0000  2 Pu 3.05, 8 Ag 3.29, 4 In 3.30
In: 0.2494 0.7494 0.5000  7 Ag 2.90-2.98, 2 In 3.05
In: 0.7506 0.2506 0.5000  7 Ag 2.90-2.98, 2 In 3.05
Ag: 0.1465 0.3743 0.7723  3 In 2.90-2.98, 5 Ag 2.95-3.05
Ag: 0.3980 0.6257 0.7723  3 In 2.90-2.98, 5 Ag 2.95-3.05
Ag: 0.5000 0.0000 0.5000  2 In 2.94, 10 Ag 2.99-3.05
Ag: 0.6020 0.3743 0.2277  3 In 2.90-2.98, 5 Ag 2.95-3.05
Ag: 0.8535 0.6257 0.2277  3 In 2.90-2.98, 5 Ag 2.95-3.05

Properties
Formation energy from the elements = -0.2 eV per formula unit
Space group = Immm

| no. | electronic total energy (eV/atom) |
| --- | --- |
| 1 | -4.54 |
| 2 | -4.63 |
| 3 | -3.42 |
| 4 | -5.28 |
| 5 | -4.68 |
| 6 | -4.28 |